Compound: LaSm3Dy8
Source: Alexandria
Functional: PBE
Structure: relaxed

Summary:
- magnetic moment (μB/f.u.) = 0.00
- symmetry = No. 71
- energy of formation from the pure elements (eV/atom) = 0.30

Structure (extended XYZ):
```
12
Lattice="-3.2086 5.7309 5.7352 3.2086 -5.7309 5.7352 3.2086 5.7309 -5.7352" Properties=species:S:1:pos:R:3 pbc="T T T"
La 0.0000 0.0000 0.0000
Sm 3.2086 0.0000 2.9114
Sm 0.0000 0.0000 5.7352
Sm 0.0000 5.7309 2.8238
Dy 3.2086 3.7565 -2.8610
Dy 1.5890 2.9153 0.0000
Dy 1.6196 -2.8156 5.7352
Dy 0.0000 1.9745 2.8742
Dy 3.2086 3.7565 2.8610
Dy 1.5890 8.5466 0.0000
Dy 1.6196 2.8156 5.7352
Dy 0.0000 1.9745 8.5963
```

Compound: LaSm4Dy2
Source: Alexandria
Functional: PBE
Structure: relaxed

Summary:
- magnetic moment (μB/f.u.) = 0.00
- symmetry = No. 11
- energy of formation from the pure elements (eV/atom) = 0.12
- ΔE to the lowest computed polymorph (meV/atom) = 42.6

Structure (extended XYZ):
```
14
Lattice="6.1815 0.0000 0.0000 0.0000 6.6713 0.0000 -2.8138 0.0000 11.3769" Properties=species:S:1:pos:R:3 pbc="T T T"
La -0.8256 1.6678 4.0544
La 4.1933 5.0035 7.3225
Sm -0.9245 1.6678 7.4906
Sm -0.8368 5.0035 10.5928
Sm 1.6040 3.3849 2.4085
Sm 1.6040 6.6221 2.4085
Sm 1.7637 0.0492 8.9684
Sm 1.7637 3.2864 8.9684
Sm 4.2045 1.6678 0.7841
Sm 4.2922 5.0035 3.8863
Dy -1.7322 1.6678 10.7608
Dy 1.0660 5.0035 5.7002
Dy 2.3017 1.6678 5.6767
Dy 5.0999 5.0035 0.6161
```

Compound: LaSmDy14
Source: Alexandria
Functional: PBE
Structure: relaxed

Summary:
- magnetic moment (μB/f.u.) = 0.00
- symmetry = No. 38
- energy of formation from the pure elements (eV/atom) = 0.01

Structure (extended XYZ):
```
16
Lattice="11.5240 0.0000 0.0000 0.0000 3.5803 6.1877 0.0000 -3.5803 6.1877" Properties=species:S:1:pos:R:3 pbc="T T T"
La 0.0000 0.0000 0.0000
Sm 0.0000 0.0000 6.1925
Dy 0.0000 -1.7884 3.1002
Dy 0.0000 1.7884 3.1002
Dy 2.8904 0.0000 8.2594
Dy 2.9118 0.0000 2.0723
Dy 2.9247 -1.7872 5.1593
Dy 2.9247 1.7872 5.1593
Dy 5.7620 0.0000 4.1302
Dy 5.7620 -1.7858 7.2298
Dy 5.7620 0.0000 10.3134
Dy 5.7620 1.7858 7.2298
Dy 8.5993 -1.7872 5.1593
Dy 8.5993 1.7872 5.1593
Dy 8.6122 0.0000 2.0723
Dy 8.6336 0.0000 8.2594
```

Compound: LaSm8Dy4
Source: Alexandria
Functional: PBE
Structure: relaxed

Summary:
- magnetic moment (μB/f.u.) = 0.00
- symmetry = No. 12
- energy of formation from the pure elements (eV/atom) = 0.24

Structure (extended XYZ):
```
13
Lattice="5.8232 -3.7450 0.0000 5.8232 3.7450 0.0000 -0.0589 0.0000 10.3668" Properties=species:S:1:pos:R:3 pbc="T T T"
La 0.0000 0.0000 0.0000
Sm 2.7683 0.0000 3.1971
Sm 2.7823 0.0000 7.1610
Sm 5.7838 1.6261 2.1907
Sm 5.8037 1.6261 8.1760
Sm 5.7838 -1.6261 2.1907
Sm 5.8037 -1.6261 8.1760
Sm 8.8052 0.0000 3.2058
Sm 8.8193 0.0000 7.1697
Dy -0.0295 0.0000 5.1834
Dy 2.9116 1.8725 0.0000
Dy 2.9116 -1.8725 0.0000
Dy 5.7938 0.0000 5.1834
```

Compound: La3Sm3Dy8
Source: Alexandria
Functional: PBE
Structure: relaxed

Summary:
- magnetic moment (μB/f.u.) = 0.00
- symmetry = No. 71
- energy of formation from the pure elements (eV/atom) = 0.10

Structure (extended XYZ):
```
14
Lattice="-2.8630 5.4214 7.6572 2.8630 -5.4214 7.6572 2.8630 5.4214 -7.6572" Properties=species:S:1:pos:R:3 pbc="T T T"
La 0.0000 0.0000 0.0000
La 2.8630 0.0000 2.8553
La 0.0000 5.4214 4.8019
Sm 2.8630 2.1765 0.0000
Sm 0.0000 0.0000 7.6572
Sm 0.0000 3.2449 7.6572
Dy 2.8630 3.6650 -3.3536
Dy 2.8630 -1.7322 6.0958
Dy 0.0000 3.6892 1.5614
Dy 0.0000 1.7564 4.3036
Dy 2.8630 3.6650 3.3536
Dy 2.8630 1.7322 6.0958
Dy 0.0000 7.1537 1.5614
Dy 0.0000 1.7564 11.0108
```

Compound: La2Sm4Dy3
Source: Alexandria
Functional: PBE
Structure: relaxed

Summary:
- magnetic moment (μB/f.u.) = 0.00
- symmetry = No. 156
- energy of formation from the pure elements (eV/atom) = 0.05
- ΔE to the lowest computed polymorph (meV/atom) = 0.0

Structure (extended XYZ):
```
9
Lattice="3.6356 0.0000 0.0000 -1.8178 3.1485 0.0000 0.0000 0.0000 26.9684" Properties=species:S:1:pos:R:3 pbc="T T T"
La 0.0000 0.0000 0.0000
La 0.0000 0.0000 5.8978
Sm 0.0000 0.0000 9.4762
Sm 0.0000 0.0000 15.1903
Sm 0.0000 2.0990 18.1328
Sm 0.0000 2.0990 23.8802
Dy 0.0000 0.0000 21.0256
Dy 0.0000 2.0990 2.9977
Dy 0.0000 2.0990 12.2770
```